VASP calculation (PBEsol) on a geometry-optimized CdGe3Bi structure.

Unit cell a=5.080 b=5.080 c=5.080 alpha=90.00 beta=90.00 gamma=90.00
Fractional positions:
Cd  0.000  0.000  0.000
Ge  0.000  0.000  0.500
Ge  0.500  0.000  0.000
Ge  0.000  0.500  0.000
Bi  0.500  0.500  0.500

Values from the calculation:
E   -16.665 eV/cell
Symmetry   Pm-3m


VASP calculation (PBEsol) on a geometry-optimized CdGeBiP2 structure.

Unit cell a=4.770 b=4.770 c=4.981 alpha=90.00 beta=90.00 gamma=90.00
Fractional positions:
P  0.000  0.500  0.000
P  0.500  0.000  0.000
Bi  0.500  0.500  0.500
Ge  0.000  0.000  0.000
Cd  0.000  0.000  0.500

Values from the calculation:
E   -18.854 eV/cell
Symmetry   P4/mmm


VASP calculation (PBEsol) on a geometry-optimized CdReGeBi2 structure.

Unit cell a=4.632 b=5.417 c=5.417 alpha=90.00 beta=90.00 gamma=90.00
Site moments in Bohr magnetons follow the coordinates.
Fractional positions:
Cd  0.500  0.500  0.500  -0.01
Bi  0.000  0.500  0.000  -0.03
Bi  0.000  0.000  0.500  -0.03
Re  0.500  0.000  0.000  0.54
Ge  0.000  0.000  0.000  -0.02

Values from the calculation:
E   -22.007 eV/cell
Symmetry   P4/mmm


VASP calculation (PBEsol) on a geometry-optimized LaHfCdBi2 structure.

Unit cell a=5.527 b=5.527 c=5.703 alpha=90.00 beta=90.00 gamma=90.00
Fractional positions:
La  0.000  0.000  0.500
Bi  0.500  0.000  0.000
Bi  0.000  0.500  0.000
Hf  0.000  0.000  0.000
Cd  0.500  0.500  0.500

Values from the calculation:
E   -24.196 eV/cell
Symmetry   P4/mmm


Number 3 is which compound? CdReGeBi2


Which of these has the lowest E? LaHfCdBi2